1.
## Ta2OsRu (PBE)

Data for a relaxed structure of Ta2OsRu.

Unit cell a=5.7055 b=5.7055 c=5.7055 alpha=151.22 beta=128.83 gamma=59.77
Positions (direct):
Ta: 0.2482 0.2482 0.0000
Ta: 0.7518 0.7518 0.0000
Os: 0.5000 0.5000 0.0000
Ru: 0.0000 0.0000 0.0000

Summary:
density of states at the Fermi level: 3.6 states/eV/f.u.
energy of formation from the pure elements: 0.67 eV/atom
crystal system: orthorhombic
polymorph energy (0 for the lowest one): 992 meV/atom

2.
## RbZrAsO2 (PBE)

Data for a relaxed structure of RbZrAsO2.

Unit cell a=4.1614 b=4.1614 c=5.9508 alpha=90.00 beta=90.00 gamma=90.00
Positions (direct):
Rb: 0.0000 0.0000 0.0000
Zr: 0.5000 0.5000 0.5000
As: 0.0000 0.0000 0.5000
O: 0.0000 0.5000 0.0000
O: 0.5000 0.0000 0.0000

Summary:
density of states at the Fermi level: 1.9 states/eV/f.u.
ΔE_f (raw): 3.3 eV/f.u.
crystal system: tetragonal
polymorph energy (0 for the lowest one): 1540 meV/atom

3.
## Tb6Pm2Pr3Pb (PBE)

Data for a relaxed structure of Tb6Pm2Pr3Pb.

Unit cell a=6.2075 b=6.2075 c=11.8668 alpha=95.04 beta=95.04 gamma=120.03
Positions (direct):
Tb: 0.0813 0.4072 0.7454
Tb: 0.2442 0.2442 0.2532
Tb: 0.4072 0.0813 0.7454
Tb: 0.5928 0.9187 0.2546
Tb: 0.7558 0.7558 0.7468
Tb: 0.9187 0.5928 0.2546
Pm: 0.3340 0.6660 0.5000
Pm: 0.6660 0.3340 0.5000
Pr: 0.1683 0.8317 0.0000
Pr: 0.5000 0.5000 0.0000
Pr: 0.8317 0.1683 0.0000
Pb: 0.0000 0.0000 0.5000

Summary:
density of states at the Fermi level: 14.1 states/eV/f.u.
energy of formation from the pure elements: -0.06 eV/atom
crystal system: monoclinic

4.
## Ti3GaO (PBE)

Data for a relaxed structure of Ti3GaO.

Unit cell a=4.1146 b=4.1146 c=4.1146 alpha=90.00 beta=90.00 gamma=90.00
Positions (direct):
Ti: 0.0000 0.0000 0.5000
Ti: 0.0000 0.5000 0.0000
Ti: 0.5000 0.0000 0.0000
Ga: 0.5000 0.5000 0.5000
O: 0.0000 0.0000 0.0000

Summary:
density of states at the Fermi level: 5.5 states/eV/f.u.
ΔE_f (raw): -6.1 eV/f.u.
crystal system: cubic

5.
## Sr2Al4SiPd3 (PBE)

Data for a relaxed structure of Sr2Al4SiPd3.

Unit cell a=4.3379 b=4.3379 c=10.7591 alpha=90.00 beta=90.00 gamma=90.00
Positions (direct):
Sr: 0.0000 0.5000 0.2473
Sr: 0.5000 0.0000 0.7527
Al: 0.0000 0.0000 0.5000
Al: 0.0000 0.5000 0.8683
Al: 0.5000 0.0000 0.1317
Al: 0.5000 0.5000 0.5000
Si: 0.5000 0.5000 0.0000
Pd: 0.0000 0.0000 0.0000
Pd: 0.0000 0.5000 0.6277
Pd: 0.5000 0.0000 0.3723

Summary:
density of states at the Fermi level: 4.0 states/eV/f.u.
ΔE_f (raw): -6.4 eV/f.u.
crystal system: tetragonal

6.
## CaPm12Tm3 (PBE)

Data for a relaxed structure of CaPm12Tm3.

Unit cell a=5.1333 b=5.1333 c=20.5135 alpha=90.00 beta=90.00 gamma=90.00
Positions (direct):
Ca: 0.0000 0.0000 0.0000
Pm: 0.0000 0.5000 0.1305
Pm: 0.0000 0.5000 0.3766
Pm: 0.0000 0.5000 0.6234
Pm: 0.0000 0.5000 0.8695
Pm: 0.5000 0.0000 0.1305
Pm: 0.5000 0.0000 0.3766
Pm: 0.5000 0.0000 0.6234
Pm: 0.5000 0.0000 0.8695
Pm: 0.5000 0.5000 0.0000
Pm: 0.5000 0.5000 0.2518
Pm: 0.5000 0.5000 0.5000
Pm: 0.5000 0.5000 0.7482
Tm: 0.0000 0.0000 0.2520
Tm: 0.0000 0.0000 0.5000
Tm: 0.0000 0.0000 0.7480

Summary:
density of states at the Fermi level: 23.7 states/eV/f.u.
energy of formation from the pure elements: 0.03 eV/atom
crystal system: tetragonal

7.
## IrAu2Cl (PBE)

Data for a relaxed structure of IrAu2Cl.

Unit cell a=2.9059 b=4.6866 c=5.1538 alpha=90.00 beta=90.00 gamma=90.00
Positions (direct):
Ir: 0.0000 0.0000 0.0000
Au: 0.0000 0.5000 0.5000
Au: 0.5000 0.0000 0.5000
Cl: 0.5000 0.5000 0.0000

Summary:
density of states at the Fermi level: 2.9 states/eV/f.u.
ΔE_f (raw): 2.8 eV/f.u.
crystal system: orthorhombic
polymorph energy (0 for the lowest one): 345 meV/atom

8.
## ErPd2F8 (PBE)

Data for a relaxed structure of ErPd2F8.

Unit cell a=5.9338 b=5.9338 c=5.0016 alpha=95.00 beta=95.00 gamma=73.36
Positions (direct):
Er: 0.0000 0.0000 0.0000
Pd: 0.3829 0.3829 0.7483
Pd: 0.6171 0.6171 0.2517
F: 0.1045 0.6694 0.7563
F: 0.1723 0.1723 0.7540
F: 0.3306 0.8955 0.2437
F: 0.4107 0.4107 0.2623
F: 0.5893 0.5893 0.7377
F: 0.6694 0.1045 0.7563
F: 0.8277 0.8277 0.2460
F: 0.8955 0.3306 0.2437

Summary:
density of states at the Fermi level: 3.0 states/eV/f.u.
ΔE_f (raw): -24.5 eV/f.u.
crystal system: monoclinic

9.
## CuSbCl (PBE)

Data for a relaxed structure of CuSbCl.

Unit cell a=7.7360 b=7.2942 c=3.5058 alpha=83.66 beta=69.57 gamma=26.77
Positions (direct):
Cu: 0.0000 0.0000 0.0000
Sb: 0.6410 0.6410 0.3590
Cl: 0.3923 0.3923 0.6077

Summary:
density of states at the Fermi level: 1.1 states/eV/f.u.
ΔE_f (raw): -0.4 eV/f.u.
crystal system: orthorhombic
polymorph energy (0 for the lowest one): 45 meV/atom

10.
## Na3UCd2O6 (PBE)

Data for a relaxed structure of Na3UCd2O6.

Unit cell a=5.8240 b=5.8240 c=5.9625 alpha=99.48 beta=99.48 gamma=119.91
Positions (direct):
Na: 0.0000 0.0000 0.0000
Na: 0.3257 0.6743 0.0000
Na: 0.6743 0.3257 0.0000
U: 0.5000 0.5000 0.5000
Cd: 0.1667 0.8333 0.5000
Cd: 0.8333 0.1667 0.5000
O: 0.1170 0.4252 0.2742
O: 0.2679 0.2679 0.7205
O: 0.4252 0.1170 0.2742
O: 0.5748 0.8830 0.7258
O: 0.7321 0.7321 0.2795
O: 0.8830 0.5748 0.7258

Summary:
density of states at the Fermi level: 2.5 states/eV/f.u.
ΔE_f (raw): -23.3 eV/f.u.
crystal system: monoclinic

11.
## GeAsSN2 (PBE)

Data for a relaxed structure of GeAsSN2.

Unit cell a=3.7539 b=3.7539 c=5.0802 alpha=90.00 beta=90.00 gamma=90.00
Positions (direct):
Ge: 0.0000 0.0000 0.0000
As: 0.5000 0.5000 0.5000
S: 0.5000 0.5000 0.0000
N: 0.0000 0.5000 0.5000
N: 0.5000 0.0000 0.5000

Summary:
density of states at the Fermi level: 1.2 states/eV/f.u.
ΔE_f (raw): 5.6 eV/f.u.
crystal system: tetragonal
polymorph energy (0 for the lowest one): 0 meV/atom

12.
## Cd2Hg8Bi (PBE)

Data for a relaxed structure of Cd2Hg8Bi.

Unit cell a=3.3837 b=7.7503 c=11.8310 alpha=73.79 beta=84.56 gamma=78.12
Positions (direct):
Cd: 0.2291 0.2589 0.1631
Cd: 0.7709 0.7411 0.8369
Hg: 0.1500 0.0827 0.7083
Hg: 0.1754 0.1878 0.4330
Hg: 0.4040 0.3922 0.8953
Hg: 0.4964 0.5590 0.3669
Hg: 0.5036 0.4410 0.6331
Hg: 0.5960 0.6078 0.1047
Hg: 0.8246 0.8122 0.5670
Hg: 0.8500 0.9173 0.2917
Bi: 0.0000 0.0000 0.0000

Summary:
density of states at the Fermi level: 2.6 states/eV/f.u.
energy of formation from the pure elements: 0.03 eV/atom
crystal system: triclinic

13.
## ZrTa2C (PBE)

Data for a relaxed structure of ZrTa2C.

Unit cell a=2.9063 b=2.9063 c=7.5125 alpha=90.00 beta=90.00 gamma=90.00
Positions (direct):
Zr: 0.0000 0.0000 0.0000
Ta: 0.5000 0.5000 0.3256
Ta: 0.5000 0.5000 0.6744
C: 0.0000 0.0000 0.5000

Summary:
density of states at the Fermi level: 4.5 states/eV/f.u.
energy of formation from the pure elements: 0.31 eV/atom
crystal system: tetragonal

14.
## Pu3SnPt3 (PBE)

Data for a relaxed structure of Pu3SnPt3.

Unit cell a=8.7179 b=8.7179 c=4.7094 alpha=90.00 beta=90.00 gamma=120.00
Positions (direct):
Pu: 0.0688 0.4193 0.2500
Pu: 0.3506 0.9312 0.2500
Pu: 0.4193 0.3506 0.7500
Pu: 0.5807 0.6494 0.2500
Pu: 0.6494 0.0688 0.7500
Pu: 0.9312 0.5807 0.7500
Sn: 0.3333 0.6667 0.7500
Sn: 0.6667 0.3333 0.2500
Pt: 0.0297 0.2071 0.7500
Pt: 0.1773 0.9703 0.7500
Pt: 0.2071 0.1773 0.2500
Pt: 0.7929 0.8227 0.7500
Pt: 0.8227 0.0297 0.2500
Pt: 0.9703 0.7929 0.2500

Summary:
density of states at the Fermi level: 25.6 states/eV/f.u.
energy of formation from the pure elements: -0.53 eV/atom
crystal system: hexagonal

15.
## TlZnMo4 (PBE)

Data for a relaxed structure of TlZnMo4.

Unit cell a=5.3315 b=5.3315 c=5.3315 alpha=60.00 beta=60.00 gamma=60.00
Positions (direct):
Tl: 0.0000 0.0000 0.0000
Zn: 0.7500 0.7500 0.7500
Mo: 0.3759 0.3759 0.3759
Mo: 0.3759 0.3759 0.8724
Mo: 0.3759 0.8724 0.3759
Mo: 0.8724 0.3759 0.3759

Summary:
density of states at the Fermi level: 9.0 states/eV/f.u.
energy of formation from the pure elements: 0.64 eV/atom
crystal system: cubic

16.
## TbDy5Cd3 (PBE)

Data for a relaxed structure of TbDy5Cd3.

Unit cell a=9.1752 b=9.1752 c=6.9455 alpha=90.00 beta=90.00 gamma=120.00
Positions (direct):
Tb: 0.0000 0.0000 0.0000
Tb: 0.0000 0.0000 0.5000
Dy: 0.0000 0.3337 0.2500
Dy: 0.0000 0.6663 0.7500
Dy: 0.3333 0.6667 0.0000
Dy: 0.3333 0.6667 0.5000
Dy: 0.3337 0.0000 0.2500
Dy: 0.3337 0.3337 0.7500
Dy: 0.6663 0.0000 0.7500
Dy: 0.6663 0.6663 0.2500
Dy: 0.6667 0.3333 0.0000
Dy: 0.6667 0.3333 0.5000
Cd: 0.0000 0.3334 0.7500
Cd: 0.0000 0.6666 0.2500
Cd: 0.3334 0.0000 0.7500
Cd: 0.3334 0.3334 0.2500
Cd: 0.6666 0.0000 0.2500
Cd: 0.6666 0.6666 0.7500

Summary:
density of states at the Fermi level: 5.4 states/eV/f.u.
energy of formation from the pure elements: -0.19 eV/atom
crystal system: hexagonal

17.
## BaCd2W (PBE)

Data for a relaxed structure of BaCd2W.

Unit cell a=10.5792 b=10.5792 c=10.5792 alpha=150.95 beta=150.95 gamma=41.54
Positions (direct):
Ba: 0.0000 0.0000 0.0000
Ba: 0.7500 0.2500 0.5000
Cd: 0.3060 0.6250 0.1810
Cd: 0.3750 0.5560 0.6810
Cd: 0.4440 0.1250 0.8190
Cd: 0.8750 0.6940 0.3190
W: 0.2500 0.7500 0.5000
W: 0.5000 0.5000 0.0000

Summary:
density of states at the Fermi level: 4.3 states/eV/f.u.
energy of formation from the pure elements: 1.00 eV/atom
crystal system: tetragonal
polymorph energy (0 for the lowest one): 381 meV/atom

18.
## CaLaEu2 (PBE)

Data for a relaxed structure of CaLaEu2.

Unit cell a=6.1795 b=6.1795 c=4.2378 alpha=90.00 beta=90.00 gamma=90.00
Positions (direct):
Ca: 0.0000 0.0000 0.0000
La: 0.5000 0.5000 0.0000
Eu: 0.0000 0.5000 0.5000
Eu: 0.5000 0.0000 0.5000

Summary:
density of states at the Fermi level: 4.5 states/eV/f.u.
energy of formation from the pure elements: 0.08 eV/atom
crystal system: tetragonal
polymorph energy (0 for the lowest one): 47 meV/atom

19.
## PmAgHgAs (PBE)

Data for a relaxed structure of PmAgHgAs.

Unit cell a=5.0651 b=5.0651 c=5.0651 alpha=60.00 beta=60.00 gamma=60.00
Positions (direct):
Pm: 0.0000 0.0000 0.0000
Ag: 0.5000 0.5000 0.5000
Hg: 0.7500 0.7500 0.7500
As: 0.2500 0.2500 0.2500

Summary:
density of states at the Fermi level: 2.9 states/eV/f.u.
energy of formation from the pure elements: -0.40 eV/atom
crystal system: cubic

20.
## AcBiF (PBE)

Data for a relaxed structure of AcBiF.

Unit cell a=6.6788 b=6.6788 c=6.6788 alpha=148.17 beta=148.17 gamma=45.63
Positions (direct):
Ac: 0.0000 0.0000 0.0000
Bi: 0.2894 0.2894 0.0000
F: 0.5578 0.5578 0.0000

Summary:
density of states at the Fermi level: 1.3 states/eV/f.u.
ΔE_f (raw): -5.6 eV/f.u.
crystal system: tetragonal
polymorph energy (0 for the lowest one): 352 meV/atom

21.
## Ca2Cd2Ge (PBE)

Data for a relaxed structure of Ca2Cd2Ge.

Unit cell a=7.2324 b=7.2324 c=7.2324 alpha=140.32 beta=140.32 gamma=57.37
Positions (direct):
Ca: 0.2500 0.7500 0.5000
Ca: 0.7500 0.2500 0.5000
Cd: 0.1037 0.1037 0.0000
Cd: 0.8963 0.8963 0.0000
Ge: 0.5000 0.5000 0.0000

Summary:
density of states at the Fermi level: 3.3 states/eV/f.u.
energy of formation from the pure elements: 0.18 eV/atom
crystal system: tetragonal
polymorph energy (0 for the lowest one): 437 meV/atom

22.
## SrYZr2 (PBE)

Data for a relaxed structure of SrYZr2.

Unit cell a=3.3634 b=3.3634 c=10.3468 alpha=90.00 beta=90.00 gamma=90.00
Positions (direct):
Sr: 0.0000 0.0000 0.0000
Y: 0.0000 0.0000 0.5000
Zr: 0.5000 0.5000 0.2751
Zr: 0.5000 0.5000 0.7249

Summary:
density of states at the Fermi level: 5.6 states/eV/f.u.
energy of formation from the pure elements: 0.37 eV/atom
crystal system: tetragonal
polymorph energy (0 for the lowest one): 141 meV/atom

23.
## Zn2IrPb (PBE)

Data for a relaxed structure of Zn2IrPb.

Unit cell a=4.4755 b=4.4755 c=6.4393 alpha=96.05 beta=96.05 gamma=41.34
Positions (direct):
Zn: 0.0000 0.0000 0.0000
Zn: 0.7050 0.7050 0.8367
Ir: 0.4059 0.4059 0.6905
Pb: 0.0934 0.0934 0.4249

Summary:
density of states at the Fermi level: 1.7 states/eV/f.u.
energy of formation from the pure elements: 0.14 eV/atom
crystal system: monoclinic

24.
## SrSbAu (PBE)

Data for a relaxed structure of SrSbAu.

Unit cell a=5.3536 b=5.3536 c=13.1598 alpha=90.00 beta=90.00 gamma=120.00
Positions (direct):
Sr: 0.0000 0.0000 0.2500
Sr: 0.0000 0.0000 0.7500
Sb: 0.0000 0.0000 0.0000
Sb: 0.0000 0.0000 0.5000
Au: 0.3333 0.6667 0.2500
Au: 0.6667 0.3333 0.7500

Summary:
density of states at the Fermi level: 1.5 states/eV/f.u.
ΔE_f (raw): 1.0 eV/f.u.
crystal system: hexagonal

25.
## Ho2Co3B2 (PBE)

Data for a relaxed structure of Ho2Co3B2.

Unit cell a=5.0866 b=5.0866 c=6.3359 alpha=113.39 beta=113.39 gamma=38.45
Positions (direct):
Ho: 0.1297 0.1297 0.2712
Ho: 0.8703 0.8703 0.7288
Co: 0.3547 0.3547 0.0697
Co: 0.5000 0.5000 0.5000
Co: 0.6453 0.6453 0.9303
B: 0.1465 0.1465 0.7482
B: 0.8535 0.8535 0.2518

Summary:
density of states at the Fermi level: 6.0 states/eV/f.u.
energy of formation from the pure elements: -0.31 eV/atom
crystal system: monoclinic